Entry 1:
Entry from Alexandria via LeMat-Bulk: a geometry-optimized HoEr5TmIn2 structure (GGA-PBE).

- DOS at the Fermi energy: 12.59 states/eV/f.u.
- ΔE_f: 0.02 eV per atom
- M_tot: 0.0 μB per formula unit
- Theoretical density: 8.4 g/cm³
- E: -4.129 eV/atom

```
data_HoEr5TmIn2
_cell_length_a 7.561
_cell_length_b 7.561
_cell_length_c 19.287
_cell_angle_alpha 90.00
_cell_angle_beta 90.00
_cell_angle_gamma 90.00
_symmetry_space_group_name_H-M 'I 4/m c m'
_symmetry_Int_Tables_number 140
_symmetry_space_group_name_Hall '-I 4 2c'
loop_
_atom_site_label
_atom_site_type_symbol
_atom_site_fract_x
_atom_site_fract_y
_atom_site_fract_z
Ho1 Ho 0.000 0.000 0.250
Er1 Er 0.000 0.000 0.000
Er2 Er 0.202 0.298 0.124
Tm1 Tm 0.000 0.500 0.250
In1 In 0.124 0.376 0.500
```


Entry 2:
Entry from Alexandria via LeMat-Bulk: a geometry-optimized CuHgMo structure (GGA-PBE).

- DOS at the Fermi energy: 1.56 states/eV/f.u.
- ΔE_f: 0.42 eV per atom
- M_tot: 0.0 μB per formula unit
- Distance to the lowest polymorph of the same formula: 0 kJ/mol of formula units
- Theoretical density: 12.3 g/cm³
- E: -4.656 eV/atom

```
data_CuHgMo
_cell_length_a 2.812
_cell_length_b 2.812
_cell_length_c 12.331
_cell_angle_alpha 90.00
_cell_angle_beta 90.00
_cell_angle_gamma 90.00
_symmetry_space_group_name_H-M 'I 4 m m'
_symmetry_Int_Tables_number 107
_symmetry_space_group_name_Hall 'I 4 -2'
loop_
_atom_site_label
_atom_site_type_symbol
_atom_site_fract_x
_atom_site_fract_y
_atom_site_fract_z
Cu1 Cu 0.000 0.000 0.000
Hg1 Hg 0.000 0.000 0.668
Mo1 Mo 0.000 0.000 0.353
```


Entry 3:
Entry from Alexandria via LeMat-Bulk: a geometry-optimized Cs2Na2PmO4 structure (GGA-PBE).

- Formation energy from raw total energies: -1.6268 eV per atom
- DOS at the Fermi energy: 10.65 states/eV/f.u.
- M_tot: 1.1 μB per formula unit
- Theoretical density: 4.8 g/cm³
- E: -4.841 eV/atom

```
data_Cs2Na2PmO4
_cell_length_a 14.163
_cell_length_b 3.852
_cell_length_c 7.065
_cell_angle_alpha 90.00
_cell_angle_beta 110.57
_cell_angle_gamma 90.00
_symmetry_space_group_name_H-M 'C 1 2/m 1'
_symmetry_Int_Tables_number 12
_symmetry_space_group_name_Hall '-C 2y'
loop_
_atom_site_label
_atom_site_type_symbol
_atom_site_fract_x
_atom_site_fract_y
_atom_site_fract_z
Cs1 Cs 0.137 0.000 0.039
Na1 Na 0.177 0.500 0.476
Pm1 Pm 0.000 0.000 0.500
O1 O 0.009 0.500 0.294
O2 O 0.180 0.000 0.641
```


Entry 4:
Entry from Alexandria via LeMat-Bulk: a geometry-optimized TaVGe2 structure (GGA-PBE).

- DOS at the Fermi energy: 1.96 states/eV/f.u.
- ΔE_f: -0.02 eV per atom
- M_tot: 0.0 μB per formula unit
- Distance to the lowest polymorph of the same formula: 0 kJ/mol of formula units
- Theoretical density: 9.2 g/cm³
- E: -7.572 eV/atom

```
data_TaVGe2
_cell_length_a 3.6275
_cell_length_b 3.6275
_cell_length_c 18.0188
_cell_angle_alpha 90.00
_cell_angle_beta 90.00
_cell_angle_gamma 120.00
_symmetry_space_group_name_H-M 'R 3 m'
_symmetry_Int_Tables_number 160
_symmetry_space_group_name_Hall 'R 3 -2"'
loop_
_atom_site_label
_atom_site_type_symbol
_atom_site_fract_x
_atom_site_fract_y
_atom_site_fract_z
Ta1 Ta 0.0000 0.0000 0.0000
V1 V 0.0000 0.0000 0.8230
Ge1 Ge 0.0000 0.0000 0.4175
Ge2 Ge 0.0000 0.0000 0.5743
```


Entry 5:
Entry from Alexandria via LeMat-Bulk: a geometry-optimized Cr2SbBr structure (GGA-PBE).

- Formation energy from raw total energies: 0.2565 eV per atom
- DOS at the Fermi energy: 1.68 states/eV/f.u.
- M_tot: 8.0 μB per formula unit
- Distance to the lowest polymorph of the same formula: 69 kJ/mol of formula units
- Theoretical density: 5.4 g/cm³
- E: -6.004 eV/atom

```
data_Cr2SbBr
_cell_length_a 3.677
_cell_length_b 3.697
_cell_length_c 13.831
_cell_angle_alpha 90.00
_cell_angle_beta 90.00
_cell_angle_gamma 90.00
_symmetry_space_group_name_H-M 'I m m 2'
_symmetry_Int_Tables_number 44
_symmetry_space_group_name_Hall 'I 2 -2'
loop_
_atom_site_label
_atom_site_type_symbol
_atom_site_fract_x
_atom_site_fract_y
_atom_site_fract_z
Cr1 Cr 0.000 0.000 0.000
Cr2 Cr 0.000 0.500 0.212
Sb1 Sb 0.000 0.500 0.649
Br1 Br 0.000 0.000 0.400
```


Entry 6:
Entry from Alexandria via LeMat-Bulk: a geometry-optimized Pu2CrWN5 structure (GGA-PBE).

- Formation energy from raw total energies: -0.8620 eV per atom
- DOS at the Fermi energy: 9.04 states/eV/f.u.
- M_tot: 8.9 μB per formula unit
- Theoretical density: 12.8 g/cm³
- E: -11.181 eV/atom

```
data_Pu2CrWN5
_cell_length_a 3.206
_cell_length_b 12.836
_cell_length_c 10.006
_cell_angle_alpha 90.00
_cell_angle_beta 90.00
_cell_angle_gamma 90.00
_symmetry_space_group_name_H-M 'C m c 21'
_symmetry_Int_Tables_number 36
_symmetry_space_group_name_Hall 'C 2c -2'
loop_
_atom_site_label
_atom_site_type_symbol
_atom_site_fract_x
_atom_site_fract_y
_atom_site_fract_z
Pu1 Pu 0.000 0.107 0.000
Pu2 Pu 0.000 0.147 0.621
Cr1 Cr 0.000 0.469 0.772
W1 W 0.000 0.203 0.325
N1 N 0.000 0.046 0.370
N2 N 0.000 0.285 0.967
N3 N 0.000 0.322 0.684
N4 N 0.000 0.366 0.313
N5 N 0.000 0.489 0.097
```


Which formula does entry 4 have? TaVGe2